DFT (PBE) results for an optimized crystal structure of Gd2DyRu.

- D(E_F) (states/eV per atom) = 1.184
- E (eV/atom) = -10.510
- energy relative to the elements (meV/atom) = 0

a b c (Å): 3.7400 3.7400 28.3829
angles (deg): 90.00 90.00 120.00
Space group R-3m (No. 166, hexagonal axes)
Symmetry-distinct sites (fractional):
Gd  0.0000  0.0000  0.2268 [6 per cell]
Dy  0.0000  0.0000  0.0000 [3 per cell]
Ru  0.0000  0.0000  0.5000 [3 per cell]

DFT (PBE) results for an optimized crystal structure of ZnIn2I.

- formation energy (no corrections) (kJ/mol of formula units) = 52
- D(E_F) (states/eV per atom) = 1.022
- E (eV/atom) = -1.940

a b c (Å): 7.914 7.914 7.914
angles (deg): 90.00 90.00 90.00
Space group Fm-3m (No. 225)
Symmetry-distinct sites (fractional):
Zn  0.000  0.000  0.000 [4 per cell]
In  0.250  0.250  0.250 [8 per cell]
I  0.000  0.000  0.500 [4 per cell]

DFT (PBE) results for an optimized crystal structure of Li2CuNi.

- D(E_F) (states/eV per atom) = 0.479
- E (eV/atom) = -3.410
- energy relative to the elements (meV/atom) = 16

a b c (Å): 2.505 2.505 7.760
angles (deg): 90.00 90.00 90.00
Space group P4/mmm (No. 123)
Symmetry-distinct sites (fractional):
Li  0.000  0.000  0.239 [2 per cell]
Cu  0.500  0.500  0.500 [1 per cell]
Ni  0.500  0.500  0.000 [1 per cell]

| no. | spin magnetization (μB per cell) |
| --- | --- |
| 1 | 43.2 |
| 2 | 0.0 |
| 3 | 0.0 |